# Nb2GaCCl (SCAN, single point on PBEsol structure)
# Symmetry: P4/mmm (123)
# D(E_F) (states/eV/atom): 0.676
data_Nb2GaCCl
_chemical_formula_sum 'Nb2 Ga1 C1 Cl1'
_space_group_name_H-M_alt 'P 1'
_space_group_IT_number 1
_cell_length_a 4.109
_cell_length_b 4.377
_cell_length_c 4.377
_cell_angle_alpha 90.00
_cell_angle_beta 90.00
_cell_angle_gamma 90.00
loop_
_space_group_symop_operation_xyz
'x,y,z'
loop_
_atom_site_label
_atom_site_type_symbol
_atom_site_fract_x
_atom_site_fract_y
_atom_site_fract_z
_atom_site_occupancy
Nb1 Nb 0.000 0.500 0.000 1
Ga1 Ga 0.500 0.500 0.500 1
Cl1 Cl 0.500 0.000 0.000 1
Nb2 Nb 0.000 0.000 0.500 1
C1 C 0.000 0.000 0.000 1

# GaCS2Cl (SCAN, single point on PBEsol structure)
# Symmetry: P4/mmm (123)
# D(E_F) (states/eV/atom): 0.408
data_GaCS2Cl
_chemical_formula_sum 'Ga1 C1 S2 Cl1'
_space_group_name_H-M_alt 'P 1'
_space_group_IT_number 1
_cell_length_a 3.856
_cell_length_b 3.856
_cell_length_c 6.435
_cell_angle_alpha 90.00
_cell_angle_beta 90.00
_cell_angle_gamma 90.00
loop_
_space_group_symop_operation_xyz
'x,y,z'
loop_
_atom_site_label
_atom_site_type_symbol
_atom_site_fract_x
_atom_site_fract_y
_atom_site_fract_z
_atom_site_occupancy
S1 S 0.500 0.000 0.000 1
Ga1 Ga 0.500 0.500 0.500 1
C1 C 0.000 0.000 0.000 1
S2 S 0.000 0.500 0.000 1
Cl1 Cl 0.000 0.000 0.500 1

# Gd2CCl2 (SCAN, single point on PBEsol structure)
# Symmetry: P-3m1 (164)
data_Gd2CCl2
_chemical_formula_sum 'Gd2 C1 Cl2'
_space_group_name_H-M_alt 'P 1'
_space_group_IT_number 1
_cell_length_a 3.717
_cell_length_b 3.717
_cell_length_c 9.514
_cell_angle_alpha 90.00
_cell_angle_beta 90.00
_cell_angle_gamma 120.00
loop_
_space_group_symop_operation_xyz
'x,y,z'
loop_
_atom_site_label
_atom_site_type_symbol
_atom_site_fract_x
_atom_site_fract_y
_atom_site_fract_z
_atom_site_occupancy
Gd1 Gd 0.333 0.667 0.357 1
Cl1 Cl 0.333 0.667 0.826 1
Cl2 Cl 0.667 0.333 0.174 1
C1 C 0.000 0.000 0.500 1
Gd2 Gd 0.667 0.333 0.643 1

Formation energy (no corrections)? In order: 0.736; 0.901; -1.631 eV/atom.
Calculated total energy? In order: -97.01; -49.17; -151.84 eV/f.u..
Volume? In order: 78.7; 95.7; 113.9 Å³ per cell.